Compound: KPu2NiO8
Source: Alexandria via LeMat-Bulk
Functional: PBE+U
Structure: optimized geometry

```
12
Lattice="6.271 0.000 0.000 -3.135 5.430 0.000 0.000 0.000 6.849" Properties=species:S:1:pos:R:3 pbc="T T T"
O 1.695 4.599 5.686
O 0.000 1.663 5.686
O -1.696 4.599 5.686
O 1.440 0.831 1.164
O 3.135 3.768 1.164
O 4.831 0.831 1.164
O 0.000 3.620 3.674
O 3.135 1.810 3.175
Ni 0.000 0.000 0.000
Pu 3.135 1.810 1.293
Pu 0.000 3.620 5.556
K 0.000 0.000 3.425
```

**Mass density**: 5.1 g cm⁻³
**Final energy**: -91.692 eV for the cell shown